ErTh2Sc3 after structural relaxation, computed with PBE.

Unit cell a=5.4989 b=5.9863 c=10.3530 alpha=90.00 beta=90.00 gamma=90.00
Element x y z (fractional)
1 Er 0.0000 0.9480 0.9160
2 Er 0.0000 0.4480 0.0840
3 Th 0.0000 0.9440 0.2556
4 Th 0.5000 0.1344 0.4241
5 Th 0.0000 0.4440 0.7444
6 Th 0.5000 0.6344 0.5759
7 Sc 0.5000 0.1038 0.0842
8 Sc 0.5000 0.1174 0.7540
9 Sc 0.0000 0.4539 0.4130
10 Sc 0.5000 0.6038 0.9158
11 Sc 0.5000 0.6174 0.2460
12 Sc 0.0000 0.9539 0.5870

Output
- E_form (eV/f.u.) = 0.353
- offset from the most stable computed form (meV per atom) = 7.3
- density of states at the Fermi level (states/eV/cell) = 21.11

=====

LiTaPd2 after structural relaxation, computed with PBE.

Unit cell a=2.8852 b=2.8852 c=8.8996 alpha=80.67 beta=80.67 gamma=60.00
Element x y z (fractional)
1 Li 0.0000 0.0000 0.0000
2 Pd 0.7478 0.7478 0.7565
3 Pd 0.2522 0.2522 0.2435
4 Ta 0.5000 0.5000 0.5000

Output
- E_form (eV/f.u.) = -1.044
- density of states at the Fermi level (states/eV/cell) = 2.35

=====

SmTlCl4 after structural relaxation, computed with PBE.

Unit cell a=7.0263 b=8.5122 c=10.9635 alpha=121.40 beta=118.77 gamma=65.52
Element x y z (fractional)
1 Sm 0.3189 0.0689 0.1378
2 Sm 0.6811 0.9311 0.8622
3 Tl 0.4322 0.6822 0.3643
4 Tl 0.5678 0.3178 0.6357
5 Cl 0.9321 0.1427 0.9065
6 Cl 0.7924 0.6017 0.6513
7 Cl 0.4745 0.7639 0.9065
8 Cl 0.3589 0.0495 0.6513
9 Cl 0.6411 0.9505 0.3487
10 Cl 0.5255 0.2361 0.0935
11 Cl 0.2076 0.3983 0.3487
12 Cl 0.0679 0.8573 0.0935

Output
- offset from the most stable computed form (meV per atom) = 0.0
- E_form (uncorrected) (eV per atom) = -1.8697
- density of states at the Fermi level (states/eV/cell) = 0.00

=====

MgZr2GaH after structural relaxation, computed with PBE.

Unit cell a=4.3210 b=4.3210 c=4.3817 alpha=90.00 beta=90.00 gamma=90.00
Element x y z (fractional)
1 H 0.0000 0.0000 0.0000
2 Mg 0.0000 0.0000 0.5000
3 Ga 0.5000 0.5000 0.5000
4 Zr 0.0000 0.5000 0.0000
5 Zr 0.5000 0.0000 0.0000

Output
- DFT total energy (Ry/atom) = -0.392
- density of states at the Fermi level (states/eV/cell) = 3.27

=====

K3IrBr8 after structural relaxation, computed with PBE.

Unit cell a=7.8968 b=7.8968 c=8.5010 alpha=117.68 beta=117.68 gamma=90.00
Element x y z (fractional)
1 K 0.7500 0.2500 0.5000
2 K 0.5000 0.5000 0.0000
3 K 0.2500 0.7500 0.5000
4 Ir 0.0000 0.0000 0.0000
5 Br 0.3248 0.3248 0.2451
6 Br 0.3248 0.9203 0.2451
7 Br 0.0797 0.6752 0.7549
8 Br 0.0797 0.0797 0.7549
9 Br 0.9203 0.9203 0.2451
10 Br 0.9203 0.3248 0.2451
11 Br 0.6752 0.0797 0.7549
12 Br 0.6752 0.6752 0.7549

Output
- E_form (uncorrected) (eV per atom) = -0.6517
- density of states at the Fermi level (states/eV/cell) = 1.09

=====

BaHgMo2 after structural relaxation, computed with PBE.

Unit cell a=5.7244 b=5.7244 c=5.7244 alpha=135.60 beta=135.60 gamma=64.60
Element x y z (fractional)
1 Ba 0.2500 0.7500 0.5000
2 Hg 0.7500 0.2500 0.5000
3 Mo 0.0000 0.0000 0.0000
4 Mo 0.5000 0.5000 0.0000

Output
- E_form (eV/f.u.) = 5.339
- density of states at the Fermi level (states/eV/cell) = 4.72

=====

RbGeO after structural relaxation, computed with PBE.

Unit cell a=3.2444 b=6.1589 c=13.9169 alpha=90.00 beta=90.00 gamma=90.00
Element x y z (fractional)
1 O 0.7500 0.9890 0.3295
2 O 0.7500 0.5110 0.8295
3 O 0.2500 0.4890 0.1705
4 O 0.2500 0.0110 0.6705
5 Rb 0.7500 0.4924 0.3419
6 Rb 0.7500 0.0076 0.8419
7 Rb 0.2500 0.9924 0.1581
8 Rb 0.2500 0.5076 0.6581
9 Ge 0.7500 0.4934 0.0827
10 Ge 0.7500 0.0066 0.5827
11 Ge 0.2500 0.5066 0.9173
12 Ge 0.2500 0.9934 0.4173

Output
- offset from the most stable computed form (meV per atom) = 0.0
- E_form (uncorrected) (eV per atom) = -0.8545
- density of states at the Fermi level (states/eV/cell) = 2.18

=====

LiTmHfRu after structural relaxation, computed with PBE.

Unit cell a=4.7209 b=4.7209 c=4.7209 alpha=60.00 beta=60.00 gamma=60.00
Element x y z (fractional)
1 Ru 0.7500 0.7500 0.7500
2 Tm 0.5000 0.5000 0.5000
3 Hf 0.0000 0.0000 0.0000
4 Li 0.2500 0.2500 0.2500

Output
- E_form (eV/f.u.) = -1.250
- density of states at the Fermi level (states/eV/cell) = 2.93

=====

PrTh2P4 after structural relaxation, computed with PBE.

Unit cell a=4.2342 b=7.3375 c=11.9672 alpha=90.00 beta=90.00 gamma=106.77
Element x y z (fractional)
1 Pr 0.5998 0.1996 0.7500
2 Pr 0.4002 0.8004 0.2500
3 Th 0.1332 0.2665 0.4407
4 Th 0.8668 0.7335 0.9407
5 Th 0.1332 0.2665 0.0593
6 Th 0.8668 0.7335 0.5593
7 P 0.7629 0.5258 0.1528
8 P 0.7629 0.5258 0.3472
9 P 0.2371 0.4742 0.8472
10 P 0.2371 0.4742 0.6528
11 P 0.9663 0.9326 0.7500
12 P 0.0337 0.0674 0.2500
13 P 0.5000 0.0000 0.0000
14 P 0.5000 0.0000 0.5000

Output
- E_form (eV/f.u.) = -7.959
- density of states at the Fermi level (states/eV/cell) = 5.77

=====

Sr2YAlTe5 after structural relaxation, computed with PBE.

Unit cell a=4.3896 b=10.2875 c=13.8695 alpha=90.00 beta=90.00 gamma=102.32
Element x y z (fractional)
1 Sr 0.8778 0.7556 0.8252
2 Sr 0.1204 0.2409 0.6827
3 Sr 0.1222 0.2444 0.3252
4 Sr 0.8796 0.7591 0.1827
5 Y 0.7949 0.5898 0.5271
6 Y 0.2051 0.4102 0.0271
7 Al 0.5626 0.1252 0.9301
8 Al 0.4374 0.8748 0.4301
9 Te 0.3549 0.7098 0.0057
10 Te 0.6881 0.3763 0.8662
11 Te 0.5002 0.0004 0.7670
12 Te 0.2940 0.5881 0.6789
13 Te 0.9548 0.9096 0.5411
14 Te 0.6451 0.2902 0.5057
15 Te 0.3119 0.6237 0.3662
16 Te 0.4998 0.9996 0.2670
17 Te 0.7060 0.4119 0.1789
18 Te 0.0452 0.0904 0.0411

Output
- E_form (uncorrected) (eV per atom) = -1.2933

=====

Ba6PPtAu2 after structural relaxation, computed with PBE.

Unit cell a=8.1361 b=8.1395 c=8.9090 alpha=62.79 beta=62.79 gamma=59.99
Element x y z (fractional)
1 Ba 0.5909 0.2140 0.2576
2 Ba 0.2141 0.9375 0.2574
3 Ba 0.9375 0.5911 0.2575
4 Ba 0.4386 0.7113 0.7564
5 Ba 0.7114 0.0933 0.7565
6 Ba 0.0933 0.4388 0.7567
7 P 0.3241 0.3240 0.0279
8 Pt 0.8258 0.8259 0.5225
9 Au 0.5142 0.5140 0.4576
10 Au 0.0116 0.0118 0.9651

Output
- E_form (eV/f.u.) = -6.651
- density of states at the Fermi level (states/eV/cell) = 9.83

=====

FeAuCl2 after structural relaxation, computed with PBE.

Unit cell a=4.7261 b=4.7261 c=4.7261 alpha=60.00 beta=60.00 gamma=60.00
Element x y z (fractional)
1 Au 0.5000 0.5000 0.5000
2 Fe 0.7500 0.7500 0.7500
3 Cl 0.0000 0.0000 0.0000
4 Cl 0.2500 0.2500 0.2500

Output
- offset from the most stable computed form (meV per atom) = 712.2
- E_form (uncorrected) (eV per atom) = 0.4879
- density of states at the Fermi level (states/eV/cell) = 5.79

=====

CsTe6Br2 after structural relaxation, computed with PBE.

Unit cell a=5.4369 b=9.2245 c=9.2245 alpha=103.78 beta=72.82 gamma=72.82
Element x y z (fractional)
1 Cs 0.0000 0.0000 0.0000
2 Te 0.3054 0.9649 0.4241
3 Te 0.6946 0.0351 0.5759
4 Te 0.6946 0.5759 0.0351
5 Te 0.5000 0.3665 0.6335
6 Te 0.5000 0.6335 0.3665
7 Te 0.3054 0.4241 0.9649
8 Br 0.2408 0.2589 0.2589
9 Br 0.7592 0.7411 0.7411

Output
- E_form (uncorrected) (eV per atom) = -0.3103
- density of states at the Fermi level (states/eV/cell) = 1.31

=====

Mn2CrHRu after structural relaxation, computed with PBE.

Unit cell a=3.7257 b=3.7257 c=3.7714 alpha=90.00 beta=90.00 gamma=90.00
Element x y z (fractional)
1 Ru 0.0000 0.0000 0.5000
2 Mn 0.0000 0.5000 0.0000
3 Mn 0.5000 0.0000 0.0000
4 H 0.0000 0.0000 0.0000
5 Cr 0.5000 0.5000 0.5000

Output
- offset from the most stable computed form (meV per atom) = 11.8
- density of states at the Fermi level (states/eV/cell) = 4.09

=====

PtS3F after structural relaxation, computed with PBE.

Unit cell a=4.6612 b=4.6612 c=4.6612 alpha=90.00 beta=90.00 gamma=90.00
Element x y z (fractional)
1 S 0.0000 0.5000 0.0000
2 S 0.0000 0.0000 0.5000
3 S 0.5000 0.0000 0.0000
4 Pt 0.0000 0.0000 0.0000
5 F 0.5000 0.5000 0.5000

Output
- offset from the most stable computed form (meV per atom) = 0.0
- E_form (uncorrected) (eV per atom) = 0.6635
- density of states at the Fermi level (states/eV/cell) = 7.32

=====

LaPaCo2 after structural relaxation, computed with PBE.

Unit cell a=4.4409 b=5.1712 c=7.4294 alpha=109.11 beta=90.00 gamma=90.00
Element x y z (fractional)
1 La 0.2500 0.2612 0.0694
2 La 0.7500 0.7388 0.9306
3 Pa 0.7500 0.7105 0.4272
4 Pa 0.2500 0.2895 0.5728
5 Co 0.2500 0.8412 0.2813
6 Co 0.7500 0.1588 0.7187
7 Co 0.7500 0.1999 0.3572
8 Co 0.2500 0.8001 0.6428

Output
- E_form (eV/f.u.) = -1.275
- offset from the most stable computed form (meV per atom) = 0.0
- density of states at the Fermi level (states/eV/cell) = 6.28

=====

ErTh6Sc2 after structural relaxation, computed with PBE.

Unit cell a=9.2890 b=9.0255 c=9.0255 alpha=75.84 beta=59.03 gamma=59.03
Element x y z (fractional)
1 Er 0.2500 0.2500 0.7500
2 Er 0.7500 0.7500 0.2500
3 Th 0.5227 0.4874 0.6816
4 Th 0.9773 0.3184 0.5126
5 Th 0.4773 0.5126 0.3184
6 Th 0.0227 0.6816 0.4874
7 Th 0.7961 0.0924 0.4076
8 Th 0.7039 0.5924 0.9076
9 Th 0.2039 0.9076 0.5924
10 Th 0.2961 0.4076 0.0924
11 Th 0.1917 0.8184 0.0126
12 Th 0.3083 0.9874 0.1816
13 Th 0.8083 0.1816 0.9874
14 Th 0.6917 0.0126 0.8184
15 Sc 0.0562 0.6493 0.8507
16 Sc 0.4438 0.1493 0.3507
17 Sc 0.9438 0.3507 0.1493
18 Sc 0.5562 0.8507 0.6493

Output
- E_form (eV/f.u.) = 1.776
- offset from the most stable computed form (meV per atom) = 105.7
- density of states at the Fermi level (states/eV/cell) = 33.59

=====

Li3CaO after structural relaxation, computed with PBE.

Unit cell a=5.5069 b=5.5069 c=5.5069 alpha=90.00 beta=90.00 gamma=90.00
Element x y z (fractional)
1 Ca 0.0000 0.0000 0.0000
2 O 0.5000 0.5000 0.5000
3 Li 0.0000 0.5000 0.0000
4 Li 0.0000 0.0000 0.5000
5 Li 0.5000 0.0000 0.0000

Output
- offset from the most stable computed form (meV per atom) = 1686.0
- E_form (uncorrected) (eV per atom) = 1.1057
- density of states at the Fermi level (states/eV/cell) = 5.19

=====

SbPd2Pt after structural relaxation, computed with PBE.

Unit cell a=3.9090 b=3.9090 c=9.9322 alpha=78.65 beta=78.65 gamma=90.00
Element x y z (fractional)
1 Sb 0.5000 0.5000 0.0000
2 Sb 0.2500 0.7500 0.5000
3 Pd 0.6285 0.1250 0.2500
4 Pd 0.1215 0.6250 0.2500
5 Pd 0.3750 0.3715 0.7500
6 Pd 0.8750 0.8785 0.7500
7 Pt 0.0000 0.0000 0.0000
8 Pt 0.7500 0.2500 0.5000

Output
- E_form (uncorrected) (eV per atom) = -0.1757
- density of states at the Fermi level (states/eV/cell) = 4.12